A plane-wave DFT calculation with PBE was carried out for an optimized crystal structure of SmDy5Ho2Tm.

Results
Energy of formation from the pure elements (eV/f.u.): 1.42
Total moment (μB per formula unit): 0.00

abc: 5.582 19.736 10.529
angles: 90.00 90.00 90.00
Space group Cmc2_1 (No. 36)
Inequivalent atoms, fractional coordinates:
Sm (0.000, 0.085, 0.000)
Dy (0.000, 0.021, 0.284)
Dy (0.000, 0.113, 0.567)
Dy (0.000, 0.201, 0.254)
Dy (0.000, 0.219, 0.857)
Dy (0.000, 0.482, 0.568)
Ho (0.000, 0.386, 0.863)
Ho (0.000, 0.389, 0.281)
Tm (0.000, 0.301, 0.557)